DFT (PBE) results for crystalline NdEr2O at its relaxed geometry.

Summary:
Energy relative to the elements, uncorrected in eV/atom: -1.216
Total energy in eV/f.u.: -23.72

a = 3.451 Å, b = 3.451 Å, c = 9.599 Å
α = 79.65°, β = 79.65°, γ = 60.00°
Atoms (fractional coordinates):
Nd 0.000 0.000 0.000
O 0.500 0.500 0.500
Er 0.120 0.120 0.639
Er 0.880 0.880 0.361